1.
A relaxed structure of CaHoCd, computed with PBE.

abc: 5.191 5.191 9.207
angles: 73.63 73.63 60.00
Fractional positions:
1 Ca 0.877 0.877 0.370
2 Ca 0.123 0.123 0.630
3 Cd 0.746 0.746 0.762
4 Cd 0.254 0.254 0.238
5 Ho 0.371 0.371 0.888
6 Ho 0.629 0.629 0.112

Calculated values
Calculated volume   203 Å³/cell
Space group   R-3m
Calculated formation energy   0.012 eV per atom
Excess energy over the best structure of this formula in the dataset   176.5 meV per atom


2.
A relaxed structure of ErCoGe3Ru, computed with PBE.

abc: 5.615 6.245 7.519
angles: 114.54 90.00 90.00
Fractional positions:
1 Er 0.750 0.174 0.349
2 Er 0.250 0.826 0.651
3 Ge 0.500 0.286 0.000
4 Ge 0.250 0.244 0.487
5 Ge 0.000 0.714 0.000
6 Ge 0.500 0.714 0.000
7 Ge 0.750 0.756 0.513
8 Ge 0.000 0.286 0.000
9 Ru 0.750 0.926 0.853
10 Ru 0.250 0.074 0.147
11 Co 0.250 0.403 0.805
12 Co 0.750 0.597 0.195

Calculated values
Calculated volume   240 Å³/cell
Space group   Cmcm
Calculated formation energy   -0.204 eV per atom


3.
A relaxed structure of InAsP2, computed with PBE.

abc: 4.712 4.712 4.712
angles: 60.00 60.00 60.00
Fractional positions:
1 P 0.250 0.250 0.250
2 P 0.750 0.750 0.750
3 In 0.500 0.500 0.500
4 As 0.000 0.000 0.000

Calculated values
Calculated volume   74 Å³/cell
Space group   Fm-3m
Calculated formation energy   0.527 eV per atom
Excess energy over the best structure of this formula in the dataset   463.3 meV per atom